[1]
# PBE-GGA InPb3O, relaxed
# * formation energy without anion corrections: 0.888 eV/atom
# * E_tot: -14.38 eV per cell
data_InPb3O
_chemical_formula_sum 'In1 Pb3 O1'
_symmetry_space_group_name_H-M 'P m -3 m'
_symmetry_Int_Tables_number 221
_symmetry_space_group_name_Hall '-P 4 2 3'
_cell_length_a 5.764
_cell_length_b 5.764
_cell_length_c 5.764
_cell_angle_alpha 90.00
_cell_angle_beta 90.00
_cell_angle_gamma 90.00
loop_
_atom_site_label
_atom_site_fract_x
_atom_site_fract_y
_atom_site_fract_z
In1 0.000 0.000 0.000
Pb1 0.000 0.000 0.500
O1 0.500 0.500 0.500


[2]
# PBE-GGA SrZnNi2, relaxed
# * formation energy from the elements: 0.337 eV/atom
# * E_tot: -52.69 eV per cell
data_SrZnNi2
_chemical_formula_sum 'Sr4 Zn4 Ni8'
_symmetry_space_group_name_H-M 'F -4 3 m'
_symmetry_Int_Tables_number 216
_symmetry_space_group_name_Hall 'F -4 2 3'
_cell_length_a 6.596
_cell_length_b 6.596
_cell_length_c 6.596
_cell_angle_alpha 90.00
_cell_angle_beta 90.00
_cell_angle_gamma 90.00
loop_
_atom_site_label
_atom_site_fract_x
_atom_site_fract_y
_atom_site_fract_z
Sr1 0.000 0.000 0.000
Zn1 0.250 0.250 0.750
Ni1 0.000 0.000 0.500
Ni2 0.250 0.250 0.250


[3]
# PBE-GGA ReMo2Ru, relaxed
# * formation energy from the elements: 0.121 eV/atom
# * E_tot: -42.90 eV per cell
data_ReMo2Ru
_chemical_formula_sum 'Re1 Mo2 Ru1'
_symmetry_space_group_name_H-M 'P m m m'
_symmetry_Int_Tables_number 47
_symmetry_space_group_name_Hall '-P 2 2'
_cell_length_a 2.797
_cell_length_b 3.889
_cell_length_c 5.591
_cell_angle_alpha 90.00
_cell_angle_beta 90.00
_cell_angle_gamma 90.00
loop_
_atom_site_label
_atom_site_fract_x
_atom_site_fract_y
_atom_site_fract_z
Re1 0.000 0.000 0.000
Mo1 0.500 0.500 0.251
Ru1 0.000 0.000 0.500


[4]
# PBE-GGA Cd2CoHg, relaxed
# * formation energy from the elements: 0.296 eV/atom
# * E_tot: -8.05 eV per cell
data_Cd2CoHg
_chemical_formula_sum 'Cd2 Co1 Hg1'
_symmetry_space_group_name_H-M 'P 4/m m m'
_symmetry_Int_Tables_number 123
_symmetry_space_group_name_Hall '-P 4 2'
_cell_length_a 4.194
_cell_length_b 4.194
_cell_length_c 4.202
_cell_angle_alpha 90.00
_cell_angle_beta 90.00
_cell_angle_gamma 90.00
loop_
_atom_site_label
_atom_site_fract_x
_atom_site_fract_y
_atom_site_fract_z
Cd1 0.000 0.500 0.000
Co1 0.000 0.000 0.500
Hg1 0.500 0.500 0.500


[5]
# PBE-GGA Tm2Cu2Pd, relaxed
# * formation energy from the elements: -0.462 eV/atom
# * E_tot: -49.28 eV per cell
data_Tm2Cu2Pd
_chemical_formula_sum 'Tm4 Cu4 Pd2'
_symmetry_space_group_name_H-M 'P 4/m b m'
_symmetry_Int_Tables_number 127
_symmetry_space_group_name_Hall '-P 4 2ab'
_cell_length_a 7.039
_cell_length_b 7.039
_cell_length_c 3.842
_cell_angle_alpha 90.00
_cell_angle_beta 90.00
_cell_angle_gamma 90.00
loop_
_atom_site_label
_atom_site_fract_x
_atom_site_fract_y
_atom_site_fract_z
Tm1 0.180 0.320 0.000
Cu1 0.122 0.622 0.500
Pd1 0.000 0.000 0.500


[6]
# PBE-GGA KRe2SiGe, relaxed
# * formation energy without anion corrections: 1.868 eV/atom
# * E_tot: -26.70 eV per cell
data_KRe2SiGe
_chemical_formula_sum 'K1 Re2 Si1 Ge1'
_symmetry_space_group_name_H-M 'P 4/m m m'
_symmetry_Int_Tables_number 123
_symmetry_space_group_name_Hall '-P 4 2'
_cell_length_a 4.703
_cell_length_b 4.703
_cell_length_c 5.336
_cell_angle_alpha 90.00
_cell_angle_beta 90.00
_cell_angle_gamma 90.00
loop_
_atom_site_label
_atom_site_fract_x
_atom_site_fract_y
_atom_site_fract_z
K1 0.000 0.000 0.000
Re1 0.000 0.500 0.500
Si1 0.500 0.500 0.000
Ge1 0.000 0.000 0.500


Let's list density in order: 6.53; 6.26; 13.08; 10.88; 9.97; 7.21 Mg/m³.